Record 1
Crystalline PmPaSn6 at its relaxed geometry, computed with PBE.

Values from the calculation:
The size of the total moment comes out at 0.000 μB per formula unit. The calculation puts the total energy at -5.167 eV/atom. Its formation energy is -37 kJ/mol of atoms.

a = 4.6865 Å, b = 4.6865 Å, c = 9.4401 Å
α = 90.00°, β = 90.00°, γ = 90.00°
Last column: nearest neighbours and their distance in Å.
Space group P4/mmm (No. 123)
Inequivalent atoms, fractional coordinates:
Pm 0.0000 0.0000 0.0000 [1 per cell]  12 Sn 3.31-3.36
Pa 0.0000 0.0000 0.5000 [1 per cell]  12 Sn 3.29-3.31
Sn 0.0000 0.5000 0.2549 [4 per cell]  8 Sn 3.29-3.36, 2 Pa 3.29, 2 Pm 3.36
Sn 0.5000 0.5000 0.0000 [1 per cell]  4 Pm 3.31, 8 Sn 3.36
Sn 0.5000 0.5000 0.5000 [1 per cell]  8 Sn 3.29, 4 Pa 3.31



Record 2
Crystalline PmPaSn at its relaxed geometry, computed with PBE.

Values from the calculation:
The size of the total moment comes out at 0.000 μB per formula unit. The calculation puts the total energy at -6.414 eV/atom. Its formation energy is -32 kJ/mol of atoms. For the energy above the most stable polymorph in this dataset, the calculation gives 0 meV per atom.

a = 18.2438 Å, b = 3.3080 Å, c = 5.6037 Å
α = 90.00°, β = 103.57°, γ = 90.00°
Last column: nearest neighbours and their distance in Å.
Space group C2/m (No. 12)
Inequivalent atoms, fractional coordinates:
Pm 0.0712 0.0000 0.2947 [4 per cell]  6 Sn 3.26-3.38, 2 Pm 3.31, 1 Pa 3.57
Pa 0.2446 0.0000 0.7519 [4 per cell]  6 Pa 3.20-3.32, 3 Sn 3.29-3.33, 1 Pm 3.57
Sn 0.0950 0.5000 0.8180 [4 per cell]  6 Pm 3.26-3.38, 3 Pa 3.29-3.33, 2 Sn 3.31



Record 3
Crystalline PmPa2Sn9 at its relaxed geometry, computed with PBE.

Values from the calculation:
The size of the total moment comes out at 0.000 μB per formula unit. The calculation puts the total energy at -5.340 eV/atom. Its formation energy is -35 kJ/mol of atoms.

a = 4.6737 Å, b = 4.6737 Å, c = 14.0818 Å
α = 90.00°, β = 90.00°, γ = 90.00°
Last column: nearest neighbours and their distance in Å.
Space group P4/mmm (No. 123)
Inequivalent atoms, fractional coordinates:
Pm 0.0000 0.0000 0.0000 [1 per cell]  12 Sn 3.30-3.36
Pa 0.0000 0.0000 0.3383 [2 per cell]  12 Sn 3.26-3.31
Sn 0.0000 0.5000 0.1718 [4 per cell]  8 Sn 3.28-3.36, 2 Pa 3.31, 2 Pm 3.36
Sn 0.0000 0.5000 0.5000 [2 per cell]  4 Pa 3.26, 8 Sn 3.29-3.30
Sn 0.5000 0.5000 0.0000 [1 per cell]  4 Pm 3.30, 8 Sn 3.36
Sn 0.5000 0.5000 0.3354 [2 per cell]  8 Sn 3.28-3.29, 4 Pa 3.31



Record 4
Crystalline PmPaSn at its relaxed geometry, computed with PBE.

Values from the calculation:
The size of the total moment comes out at 1.579 μB per formula unit. The calculation puts the total energy at -6.044 eV/atom. Its formation energy is 4 kJ/mol of atoms. For the energy above the most stable polymorph in this dataset, the calculation gives 370 meV per atom.

a = 5.3880 Å, b = 5.3880 Å, c = 3.3239 Å
α = 90.00°, β = 90.00°, γ = 120.00°
Last column: nearest neighbours and their distance in Å.
Space group P3m1 (No. 156)
Inequivalent atoms, fractional coordinates:
Pm 0.0000 0.0000 0.0000 [1 per cell]  3 Sn 3.24, 2 Pm 3.32, 3 Pa 3.42
Pa 0.6667 0.3333 0.4302 [1 per cell]  3 Sn 3.27, 2 Pa 3.32, 6 Pm 3.42-3.64
Sn 0.3333 0.6667 0.7327 [1 per cell]  3 Pm 3.24, 3 Pa 3.27, 2 Sn 3.32